MnZn3F8: relaxed, PBE+U.

Structure (extended XYZ):
```
12
Lattice="-3.1960 -0.8291 -2.3199 3.9250 -4.0930 -3.9444 -0.8469 -3.4129 5.8959" Properties=species:S:1:pos:R:3 pbc="T T T"
Mn 1.3154 -5.2108 0.0501
Zn -0.8027 -4.2845 2.6370
Zn -1.4564 -3.0750 -0.4042
Zn 0.6668 -4.0372 -2.9853
F 0.2469 -5.8552 1.7524
F -1.7997 -2.8955 3.5141
F -2.1733 -4.3845 1.0514
F 0.2203 -3.2326 0.8517
F -0.3358 -5.0428 -1.2447
F 2.0893 -3.8797 -1.4918
F -0.4328 -2.4609 -2.0338
F 1.6440 -5.5137 -3.8038
```

Computed properties:
* calculated total energy: -4.5501 eV per atom

MnZn2F: relaxed, PBE+U.

Structure (extended XYZ):
```
8
Lattice="7.3913 0.0000 0.0000 0.0000 7.3913 0.0000 3.6956 3.6956 2.3861" Properties=species:S:1:pos:R:3 pbc="T T T"
Zn 5.2426 1.8478 0.5965
Zn 2.1487 5.5434 0.5965
Zn 5.5434 5.8443 1.7896
Zn 9.2391 8.9382 1.7896
Mn 0.0000 0.0000 0.0000
Mn 7.3913 3.6956 1.1930
F 3.6956 3.6956 0.0000
F 3.6956 7.3913 1.1930
```

Computed properties:
* distance to the lowest polymorph of the same formula: 0 kJ/mol of formula units
* calculated total energy: -3.4205 eV per atom

MnZn2F: relaxed, PBE+U.

Structure (extended XYZ):
```
4
Lattice="-0.7909 -4.5135 -0.0746 -4.3048 -1.5720 -0.0183 -1.7057 -1.9654 -3.7724" Properties=species:S:1:pos:R:3 pbc="T T T"
Zn -1.7003 -2.0127 -0.9663
Zn -5.1010 -6.0382 -2.8990
Mn -3.4007 -4.0255 -1.9327
F 0.0000 0.0000 0.0000
```

Computed properties:
* distance to the lowest polymorph of the same formula: 113 kJ/mol of formula units
* calculated total energy: -3.1276 eV per atom

Mn2Zn2F7: relaxed, PBE+U.

Structure (extended XYZ):
```
11
Lattice="-1.6596 -1.3751 -2.4569 4.4129 -5.2793 -2.1998 -0.5885 -6.8925 2.0813" Properties=species:S:1:pos:R:3 pbc="T T T"
Mn 3.4408 -5.5929 -1.3677
Mn 0.2136 -7.0537 -0.5440
Zn 1.6918 -9.8671 -2.1416
Zn 0.8460 -3.5595 -0.7530
F -1.0920 -3.6842 -1.5479
F -0.1158 -8.9895 -1.4118
F -1.4055 -7.5759 0.8419
F 1.1482 -5.4924 -2.0491
F 2.2478 -7.6574 -1.5802
F 2.2167 -10.1981 -0.1371
F 0.3133 -5.1920 0.5204
```

Computed properties:
* distance to the lowest polymorph of the same formula: 38 kJ/mol of formula units
* calculated total energy: -4.9635 eV per atom

Zr2MnF11: relaxed, PBE+U.

Structure (extended XYZ):
```
28
Lattice="7.0580 0.0000 3.6789 3.3124 7.1699 2.2550 0.2094 -0.2105 8.2083" Properties=species:S:1:pos:R:3 pbc="T T T"
Zr 6.6292 4.9001 6.3121
Zr 3.9507 2.0593 7.8301
Zr 7.1226 1.2099 10.3546
Zr 3.4573 5.7495 3.7876
Mn 7.9349 5.2195 10.6066
Mn 2.6450 1.7398 3.5355
F 6.5414 5.4301 8.2040
F 4.0384 1.5293 5.9382
F 2.9254 3.7198 8.0736
F 10.0474 6.7192 11.6297
F 7.6544 3.2395 6.0686
F 0.5324 0.2401 2.5125
F 5.1672 5.0089 10.8403
F 5.4126 1.9504 3.3019
F 5.2899 3.4797 7.0711
F 0.0000 0.0000 0.0000
F 8.6072 5.6179 6.6068
F 1.9726 1.3414 7.5354
F 5.7481 1.9277 8.9019
F 4.8317 5.0316 5.2403
F 6.3756 7.0940 5.9386
F 4.2042 -0.1346 8.2036
F 3.3030 1.6390 9.9326
F 1.4172 1.6302 4.9406
F 7.2769 5.3204 4.2095
F 9.1626 5.3292 9.2016
F 3.0058 3.5555 3.7937
F 7.5740 3.4038 10.3485
```

Computed properties:
* calculated total energy: -6.4710 eV per atom

ZrMnF2: relaxed, PBE+U.

Structure (extended XYZ):
```
4
Lattice="2.7505 0.3148 3.3728 -1.5139 1.0285 3.9611 -0.0679 -3.0095 3.1589" Properties=species:S:1:pos:R:3 pbc="T T T"
Mn 0.0000 0.0000 0.0000
Zr 0.5844 -0.8331 5.2464
F 0.2922 -0.4165 2.6232
F 0.8765 -1.2496 7.8697
```

Computed properties:
* distance to the lowest polymorph of the same formula: 253 kJ/mol of formula units
* calculated total energy: -6.0011 eV per atom

Which value of calculated total energy does entry 5 give? -6.4710 eV per atom

Among the records above, which one has the highest calculated total energy? number 3